First-principles (PBE) data for a relaxed PmScP2 crystal, as listed in Alexandria via LeMat-Bulk.

a = 3.9576 Å, b = 3.9576 Å, c = 6.8105 Å
α = 73.11°, β = 73.11°, γ = 60.00°
With the nearest neighbours (Å) after each atom.
Atoms (fractional coordinates):
Sc: 0.0000 0.0000 0.0000  6 P 2.71
P: 0.7424 0.7424 0.7729  3 Sc 2.71, 3 Pm 2.88
Pm: 0.5000 0.5000 0.5000  6 P 2.88
P: 0.2576 0.2576 0.2271  3 Sc 2.71, 3 Pm 2.88

Summary:
- distance to the lowest polymorph of the same formula (eV/f.u.) = 0.00
- energy relative to the elements (eV/atom) = -1.4921
- space group = R-3m (166)
- raw total energy (eV/atom) = -6.97
- Fermi-level density of states (states/eV/atom) = 0.13
- magnetic moment (μB/atom) = 0.000